Density functional theory data (GGA-PBE) for a relaxed structure of TcAg2Cl.

Computed properties:
Total energy = -16.273 eV per formula unit
Uncorrected formation energy = 1.6 eV per formula unit
Fermi-level density of states = 9.907 states/eV per cell

a = 3.0020 Å, b = 3.0020 Å, c = 26.5370 Å
α = 90.00°, β = 90.00°, γ = 120.00°
Closest atoms and distances in Å follow each position.
Positions (direct):
Tc (0.0000, 0.0000, 0.0000)  6 Ag 2.84, 6 Tc 3.00
Tc (0.3333, 0.6667, 0.6667)  6 Ag 2.84, 6 Tc 3.00
Tc (0.6667, 0.3333, 0.3333)  6 Ag 2.84, 6 Tc 3.00
Ag (0.0000, 0.0000, 0.2486)  3 Cl 2.78, 3 Tc 2.84, 6 Ag 3.00
Ag (0.0000, 0.0000, 0.7514)  3 Cl 2.78, 3 Tc 2.84, 6 Ag 3.00
Ag (0.3333, 0.6667, 0.4180)  3 Cl 2.78, 3 Tc 2.84, 6 Ag 3.00
Ag (0.3333, 0.6667, 0.9153)  3 Cl 2.78, 3 Tc 2.84, 6 Ag 3.00
Ag (0.6667, 0.3333, 0.0847)  3 Cl 2.78, 3 Tc 2.84, 6 Ag 3.00
Ag (0.6667, 0.3333, 0.5820)  3 Cl 2.78, 3 Tc 2.84, 6 Ag 3.00
Cl (0.0000, 0.0000, 0.5000)  6 Ag 2.78, 6 Cl 3.00
Cl (0.3333, 0.6667, 0.1667)  6 Ag 2.78, 6 Cl 3.00
Cl (0.6667, 0.3333, 0.8333)  6 Ag 2.78, 6 Cl 3.00